*a*
This record from Alexandria describes an optimized crystal structure of CaBiPd6. The functional is PBE.

Its crystal system is tetragonal. The density of states at the Fermi level comes out at 2.3 states/eV per cell.

Cell and atoms, written as CIF:
```
data_CaBiPd6
_chemical_formula_sum 'Ca1 Bi1 Pd6'
_cell_length_a 4.149
_cell_length_b 4.149
_cell_length_c 8.175
_cell_angle_alpha 90.00
_cell_angle_beta 90.00
_cell_angle_gamma 90.00
_space_group_name_H-M_alt 'P 4/m m m'
_space_group_IT_number 123
_space_group_name_Hall '-P 4 2'
loop_
_atom_site_label
_atom_site_fract_x
_atom_site_fract_y
_atom_site_fract_z
_atom_site_occupancy
Ca1 0.000 0.000 0.000 1
Bi1 0.000 0.000 0.500 1
Pd1 0.000 0.500 0.255 1
Pd2 0.500 0.500 0.000 1
Pd3 0.500 0.500 0.500 1
```

***

*b*
This record from Alexandria describes an optimized crystal structure of CaBiPd6. The functional is PBE.

Its crystal system is cubic. The density of states at the Fermi level comes out at 4.1 states/eV per cell.

Cell and atoms, written as CIF:
```
data_CaBiPd6
_chemical_formula_sum 'Ca1 Bi1 Pd6'
_cell_length_a 5.263
_cell_length_b 5.263
_cell_length_c 5.263
_cell_angle_alpha 90.00
_cell_angle_beta 90.00
_cell_angle_gamma 90.00
_space_group_name_H-M_alt 'P m -3'
_space_group_IT_number 200
_space_group_name_Hall '-P 2 2 3'
loop_
_atom_site_label
_atom_site_fract_x
_atom_site_fract_y
_atom_site_fract_z
_atom_site_occupancy
Ca1 0.000 0.000 0.000 1
Bi1 0.500 0.500 0.500 1
Pd1 0.000 0.250 0.500 1
```

***

Quick one: most stable of them? *a*